1.
Cu3Ag5: optimized geometry, PBE.

Its energy above the lowest structure with this stoichiometry is 58 meV per atom.

It has space group Cmmm (No. 65), with a = 5.673 Å, b = 7.788 Å, c = 5.699 Å, α = 90.00°, β = 90.00° and γ = 90.00°. Symmetry generates all atoms from Cu at (0.000, 0.000, 0.000), Cu at (0.000, 0.000, 0.500), Cu at (0.000, 0.500, 0.000), Ag at (0.000, 0.500, 0.500) and Ag at (0.250, 0.250, 0.244).


2.
Cu3Ag7: optimized geometry, PBE.

Its energy above the lowest structure with this stoichiometry is 50 meV per atom.

It has space group P2/m (No. 10), with a = 6.407 Å, b = 3.969 Å, c = 6.412 Å, α = 90.00°, β = 90.31° and γ = 90.00°. Symmetry generates all atoms from Cu at (0.000, 0.000, 0.000), Cu at (0.191, 0.000, 0.397), Ag at (0.094, 0.500, 0.696), Ag at (0.290, 0.500, 0.103), Ag at (0.397, 0.000, 0.796) and Ag at (0.500, 0.500, 0.500).


3.
Cu4Ag5: optimized geometry, PBE.

Its energy above the lowest structure with this stoichiometry is 62 meV per atom.

It has space group C2 (No. 5), with a = 4.755 Å, b = 8.531 Å, c = 6.799 Å, α = 90.00°, β = 92.29° and γ = 90.00°. Symmetry generates all atoms from Cu at (0.000, 0.000, 0.000), Cu at (0.000, 0.344, 0.000), Cu at (0.167, 0.843, 0.327), Ag at (0.000, 0.683, 0.000), Ag at (0.164, 0.175, 0.329) and Ag at (0.171, 0.500, 0.329).


4.
CuAg: optimized geometry, PBE.

It has space group R3m (No. 160, hexagonal axes), with a = 2.7888 Å, b = 2.7888 Å, c = 53.5902 Å, α = 90.00°, β = 90.00° and γ = 120.00°. Symmetry generates all atoms from Cu at (0.0000, 0.0000, 0.0000), Cu at (0.0000, 0.0000, 0.1203), Cu at (0.0000, 0.0000, 0.3697), Cu at (0.0000, 0.0000, 0.8701), Ag at (0.0000, 0.0000, 0.2448), Ag at (0.0000, 0.0000, 0.4952), Ag at (0.0000, 0.0000, 0.6250) and Ag at (0.0000, 0.0000, 0.7450).


5.
Cu4Ag5: optimized geometry, PBE.

Its energy above the lowest structure with this stoichiometry is 43 meV per atom.

It has space group Cm (No. 8), with a = 11.755 Å, b = 2.809 Å, c = 8.564 Å, α = 90.00°, β = 104.07° and γ = 90.00°. Symmetry generates all atoms from Cu at (0.000, 0.000, 0.000), Cu at (0.001, 0.000, 0.303), Cu at (0.007, 0.000, 0.662), Cu at (0.348, 0.000, 0.102), Ag at (0.160, 0.500, 0.537), Ag at (0.166, 0.500, 0.882), Ag at (0.172, 0.500, 0.208), Ag at (0.347, 0.000, 0.774) and Ag at (0.353, 0.000, 0.436).


6.
Cu3Ag2: optimized geometry, PBE.

Its energy above the lowest structure with this stoichiometry is 50 meV per atom.

It has space group Cm (No. 8), with a = 14.196 Å, b = 3.693 Å, c = 5.563 Å, α = 90.00°, β = 100.59° and γ = 90.00°. Symmetry generates all atoms from Cu at (0.000, 0.000, 0.000), Cu at (0.003, 0.000, 0.473), Cu at (0.088, 0.500, 0.276), Cu at (0.094, 0.500, 0.781), Cu at (0.306, 0.500, 0.892), Cu at (0.407, 0.000, 0.181), Ag at (0.194, 0.000, 0.074), Ag at (0.194, 0.000, 0.581), Ag at (0.307, 0.500, 0.375) and Ag at (0.408, 0.000, 0.697).


| no. | E_tot (eV per atom) |
| --- | --- |
| 1 | -3.0643 |
| 2 | -3.0134 |
| 3 | -3.1215 |
| 4 | -3.1625 |
| 5 | -3.1396 |
| 6 | -3.2677 |